VASP calculation (meta-GGA SCAN) on a crystal of Fe2CuIr relaxed with PBEsol.

Output
* theoretical density: 12.6 Mg/m³
* energy of formation: -77 meV/atom
* uncorrected energy: -30.716 eV/atom
* density of states at the Fermi level: 4.7 states/eV per cell

Cell lengths 3.646, 3.646, 7.268 Å; angles 90.00, 90.00, 90.00 degrees
Space group I4/mmm (No. 139)
One atom of each set of equivalent atoms:
Fe1 0.000 0.500 0.250 [4 per cell]
Cu1 0.000 0.000 0.000 [2 per cell]
Ir1 0.000 0.000 0.500 [2 per cell]

=====

VASP calculation (meta-GGA SCAN) on a crystal of FeCuIr2 relaxed with PBEsol.

Output
* theoretical density: 16.3 Mg/m³
* energy of formation: -69 meV/atom
* uncorrected energy: -43.951 eV/atom
* density of states at the Fermi level: 11.3 states/eV per cell

Cell lengths 2.6627, 2.6627, 25.1358 Å; angles 90.00, 90.00, 120.00 degrees
Space group R-3m (No. 166, hexagonal axes)
One atom of each set of equivalent atoms:
Fe1 0.0000 0.0000 0.0000 [3 per cell]
Cu1 0.0000 0.0000 0.5000 [3 per cell]
Ir1 0.0000 0.0000 0.2522 [6 per cell]

=====

VASP calculation (meta-GGA SCAN) on a crystal of Fe2CuIr relaxed with PBEsol.

Output
* theoretical density: 12.7 Mg/m³
* energy of formation: -98 meV/atom
* uncorrected energy: -30.738 eV/atom
* density of states at the Fermi level: 2.6 states/eV per cell

Cell lengths 3.623, 3.623, 3.671 Å; angles 90.00, 90.00, 90.00 degrees
Space group P4/mmm (No. 123)
One atom of each set of equivalent atoms:
Fe1 0.000 0.500 0.000 [2 per cell]
Cu1 0.000 0.000 0.500 [1 per cell]
Ir1 0.500 0.500 0.500 [1 per cell]

=====

VASP calculation (meta-GGA SCAN) on a crystal of K2FeCu relaxed with PBEsol.

Output
* theoretical density: 3.4 Mg/m³
* energy of formation: 996 meV/atom
* uncorrected energy: -11.501 eV/atom
* density of states at the Fermi level: 3.2 states/eV per cell

Cell lengths 4.354, 4.354, 10.239 Å; angles 90.00, 90.00, 90.00 degrees
Space group I4/mmm (No. 139)
One atom of each set of equivalent atoms:
K1 0.000 0.500 0.250 [4 per cell]
Fe1 0.000 0.000 0.000 [2 per cell]
Cu1 0.000 0.000 0.500 [2 per cell]